GGA+U KYMnF6, relaxed; SG = P-31c; total moment = 10.0 Bohr magnetons per cell; calculated volume = 18.332 Å³/atom; electronic total energy = -6.2515 eV/atom
1.0
5.909 0.000 0.000
-2.955 5.117 0.000
0.000 0.000 10.912
K Y Mn F
2 2 2 12
Direct
0.000 0.000 0.000 K
0.000 0.000 0.500 K
0.333 0.667 0.250 Y
0.667 0.333 0.750 Y
0.333 0.667 0.750 Mn
0.667 0.333 0.250 Mn
0.006 0.377 0.646 F
0.006 0.629 0.854 F
0.371 0.377 0.854 F
0.371 0.994 0.646 F
0.377 0.006 0.146 F
0.377 0.371 0.354 F
0.623 0.629 0.646 F
0.623 0.994 0.854 F
0.629 0.006 0.354 F
0.629 0.623 0.146 F
0.994 0.371 0.146 F
0.994 0.623 0.354 F